# 1
A plane-wave DFT calculation with PBE was carried out for a relaxed structure of ZrZnCoAg.

Cell: 4.5276 4.5276 4.5276 Å, 60.00 60.00 60.00°
Last column: nearest neighbours and their distance in Å.
Atoms (fractional coordinates):
Zr 0.0000 0.0000 0.0000  4 Zn 2.77, 4 Ag 2.77
Zn 0.2500 0.2500 0.2500  4 Zr 2.77, 4 Co 2.77
Co 0.5000 0.5000 0.5000  4 Zn 2.77, 4 Ag 2.77
Ag 0.7500 0.7500 0.7500  4 Zr 2.77, 4 Co 2.77

Properties
E_form, meV/atom: 102
Final energy, eV/atom: -4.833
Total magnetic moment, μB/atom: 0.359



# 2
A plane-wave DFT calculation with PBE was carried out for a relaxed structure of HfBe2Au2.

Cell: 5.8060 5.8060 5.8060 Å, 140.77 140.77 56.69°
Last column: nearest neighbours and their distance in Å.
Atoms (fractional coordinates):
Hf 0.0000 0.0000 0.0000  8 Au 3.06, 8 Be 3.21
Be 0.2500 0.7500 0.5000  4 Au 2.30
Be 0.7500 0.2500 0.5000  4 Au 2.30
Au 0.3703 0.3703 0.0000  4 Be 2.30
Au 0.6297 0.6297 0.0000  4 Be 2.30

Properties
Final energy, eV/atom: -4.951
Total magnetic moment, μB/atom: 0.000



# 3
A plane-wave DFT calculation with PBE was carried out for a relaxed structure of DyScAu.

Cell: 4.7215 4.7215 4.7215 Å, 60.00 60.00 60.00°
Last column: nearest neighbours and their distance in Å.
Atoms (fractional coordinates):
Dy 0.0000 0.0000 0.0000  4 Sc 2.89, 4 Au 2.89
Sc 0.2500 0.2500 0.2500  4 Dy 2.89
Au 0.7500 0.7500 0.7500  4 Dy 2.89

Properties
E_form, meV/atom: 180
Final energy, eV/atom: -4.552
Total magnetic moment, μB/atom: 0.000



# 4
A plane-wave DFT calculation with PBE was carried out for a relaxed structure of PrBiAsO.

Cell: 4.3373 4.3373 10.1309 Å, 90.00 90.00 90.00°
Last column: nearest neighbours and their distance in Å.
Atoms (fractional coordinates):
Pr 0.2500 0.2500 0.1034  4 O 2.41
Pr 0.7500 0.7500 0.8966  4 O 2.41
Bi 0.2500 0.7500 0.5000  4 Bi 3.07, 4 As 3.19
Bi 0.7500 0.2500 0.5000  4 Bi 3.07, 4 As 3.19
As 0.2500 0.2500 0.7310  4 Bi 3.19, 4 O 3.48, 4 Pr 3.50
As 0.7500 0.7500 0.2690  4 Bi 3.19, 4 O 3.48, 4 Pr 3.50
O 0.2500 0.7500 0.0000  4 Pr 2.41
O 0.7500 0.2500 0.0000  4 Pr 2.41

Properties
Final energy, eV/atom: -5.955
Total magnetic moment, μB/atom: 0.002



# 5
A plane-wave DFT calculation with PBE was carried out for a relaxed structure of Li2CdPd.

Cell: 4.6985 4.6985 4.6985 Å, 128.63 128.63 75.60°
Last column: nearest neighbours and their distance in Å.
Atoms (fractional coordinates):
Li 0.2500 0.7500 0.5000  4 Cd 2.76, 4 Pd 2.76, 4 Li 2.88
Li 0.7500 0.2500 0.5000  4 Cd 2.76, 4 Pd 2.76, 4 Li 2.88
Cd 0.0000 0.0000 0.0000  8 Li 2.76, 4 Pd 2.88
Pd 0.5000 0.5000 0.0000  8 Li 2.76, 4 Cd 2.88

Properties
Final energy, eV/atom: -2.865



# 6
A plane-wave DFT calculation with PBE was carried out for a relaxed structure of SrTl2Fe.

Cell: 5.3627 5.3627 5.3627 Å, 60.00 60.00 60.00°
Last column: nearest neighbours and their distance in Å.
Atoms (fractional coordinates):
Sr 0.0000 0.0000 0.0000  4 Tl 3.28, 4 Fe 3.28
Tl 0.5000 0.5000 0.5000  4 Tl 3.28, 4 Fe 3.28
Tl 0.7500 0.7500 0.7500  4 Tl 3.28, 4 Sr 3.28
Fe 0.2500 0.2500 0.2500  4 Tl 3.28, 4 Sr 3.28

Properties
Final energy, eV/atom: -3.295
Total magnetic moment, μB/atom: 0.741



# 7
A plane-wave DFT calculation with PBE was carried out for a relaxed structure of Mo8Pb2C3N3.

Cell: 3.2367 3.2367 23.3959 Å, 90.00 90.00 120.00°
Last column: nearest neighbours and their distance in Å.
Atoms (fractional coordinates):
Mo 0.0000 0.0000 0.1388  3 N 2.01
Mo 0.0000 0.0000 0.3535  3 C 2.07
Mo 0.0000 0.0000 0.6465  3 C 2.07
Mo 0.0000 0.0000 0.8612  3 N 2.01
Mo 0.3333 0.6667 0.5549  6 C 2.25-2.27
Mo 0.3333 0.6667 0.9466  6 N 2.25-2.26
Mo 0.6667 0.3333 0.0534  6 N 2.25-2.26
Mo 0.6667 0.3333 0.4451  6 C 2.25-2.27
Pb 0.3333 0.6667 0.7532  6 Mo 3.12-3.14, 6 Pb 3.24
Pb 0.6667 0.3333 0.2468  6 Mo 3.12-3.14, 6 Pb 3.24
C 0.0000 0.0000 0.5000  6 Mo 2.27
C 0.3333 0.6667 0.3917  6 Mo 2.07-2.25
C 0.6667 0.3333 0.6083  6 Mo 2.07-2.25
N 0.0000 0.0000 0.0000  6 Mo 2.25
N 0.3333 0.6667 0.1076  3 Mo 2.01
N 0.6667 0.3333 0.8924  3 Mo 2.01

Properties
Final energy, eV/atom: -9.038
Total magnetic moment, μB/atom: 0.001



# 8
A plane-wave DFT calculation with PBE was carried out for a relaxed structure of Sm4BICl4.

Cell: 9.0757 9.0757 8.7349 Å, 104.77 104.77 25.49°
Last column: nearest neighbours and their distance in Å.
Atoms (fractional coordinates):
Sm 0.9996 0.9996 0.2013  2 B 2.67, 2 Cl 2.86-2.91
Sm 0.0004 0.0004 0.7987  2 B 2.67, 2 Cl 2.86-2.91
Sm 0.3507 0.3507 0.9160  1 B 2.55, 2 Cl 2.80
Sm 0.6493 0.6493 0.0840  1 B 2.55, 2 Cl 2.80
B 0.5000 0.5000 0.0000  6 Sm 2.55-2.67
I 0.5000 0.5000 0.5000  4 Sm 3.29
Cl 0.1662 0.1662 0.3142  3 Sm 2.80-2.86
Cl 0.1701 0.1701 0.8649  4 Sm 2.86-3.11
Cl 0.8299 0.8299 0.1351  4 Sm 2.86-3.11
Cl 0.8338 0.8338 0.6858  3 Sm 2.80-2.86

Properties
Final energy, eV/atom: -5.004
Total magnetic moment, μB/atom: 0.000



# 9
A plane-wave DFT calculation with PBE was carried out for a relaxed structure of HfOsW.

Cell: 4.3851 4.3851 4.3851 Å, 60.00 60.00 60.00°
Last column: nearest neighbours and their distance in Å.
Atoms (fractional coordinates):
Hf 0.0000 0.0000 0.0000  4 Os 2.69
Os 0.2500 0.2500 0.2500  4 Hf 2.69, 4 W 2.69
W 0.5000 0.5000 0.5000  4 Os 2.69

Properties
E_form, meV/atom: 188
Final energy, eV/atom: -11.193
Total magnetic moment, μB/atom: 0.000



# 10
A plane-wave DFT calculation with PBE was carried out for a relaxed structure of LiHfCoSi.

Cell: 4.2456 4.2456 4.2456 Å, 60.00 60.00 60.00°
Last column: nearest neighbours and their distance in Å.
Atoms (fractional coordinates):
Li 0.0000 0.0000 0.0000  4 Hf 2.60, 4 Co 2.60
Hf 0.2500 0.2500 0.2500  4 Si 2.60, 4 Li 2.60
Co 0.7500 0.7500 0.7500  4 Si 2.60, 4 Li 2.60
Si 0.5000 0.5000 0.5000  4 Co 2.60, 4 Hf 2.60

Properties
Final energy, eV/atom: -6.303
Total magnetic moment, μB/atom: 0.007



# 11
A plane-wave DFT calculation with PBE was carried out for a relaxed structure of LuCuAgAs.

Cell: 4.7176 4.7176 4.7176 Å, 60.00 60.00 60.00°
Last column: nearest neighbours and their distance in Å.
Atoms (fractional coordinates):
Lu 0.0000 0.0000 0.0000  4 As 2.89, 4 Ag 2.89
Cu 0.5000 0.5000 0.5000  4 As 2.89, 4 Ag 2.89
Ag 0.7500 0.7500 0.7500  4 Cu 2.89, 4 Lu 2.89
As 0.2500 0.2500 0.2500  4 Cu 2.89, 4 Lu 2.89

Properties
Final energy, eV/atom: -4.217
Total magnetic moment, μB/atom: 0.000



# 12
A plane-wave DFT calculation with PBE was carried out for a relaxed structure of Sr4PrSb2.

Cell: 9.7592 9.7592 9.7592 Å, 145.79 145.79 49.15°
Last column: nearest neighbours and their distance in Å.
Atoms (fractional coordinates):
Sr 0.0000 0.5000 0.5000  2 Pr 2.87
Sr 0.1916 0.1916 0.0000  1 Sb 3.28, 1 Pr 3.40
Sr 0.5000 0.0000 0.5000  2 Pr 2.87
Sr 0.8084 0.8084 0.0000  1 Sb 3.28, 1 Pr 3.40
Pr 0.0000 0.0000 0.0000  4 Sr 2.87
Sb 0.3763 0.3763 0.0000  5 Sr 3.28-3.61
Sb 0.6237 0.6237 0.0000  5 Sr 3.28-3.61

Properties
Final energy, eV/atom: -2.668
Total magnetic moment, μB/atom: 0.450



- Number 4 is which compound?
  PrBiAsO



- What is the formula in the second record?
  HfBe2Au2